Ti4Tc2Ru (PBE, relaxed); Fermi-level density of states = 6.86 states/eV/cell; ΔH_f (0 K) = -0.306 eV/atom; space group = I4/mmm
1.0
-3.0534 3.0534 3.0901
3.0534 -3.0534 3.0901
3.0534 3.0534 -3.0901
Ti Tc Ru
4 2 1
Cartesian
1.5267 1.5267 -1.5451
1.5267 -1.5267 1.5451
-1.5267 1.5267 1.5451
1.5267 1.5267 1.5451
3.0534 0.0000 0.0000
0.0000 3.0534 0.0000
0.0000 0.0000 0.0000